No. 1
## CaTh2Pb9 (PBE-GGA)

Data for a geometry-optimized CaTh2Pb9 structure.

abc: 4.9121 4.9121 14.8133
angles: 90.00 90.00 90.00
Last column: nearest neighbours and their distance in Å.
Positions (direct):
Ca 0.0000 0.0000 0.0000  12 Pb 3.47-3.48
Th 0.0000 0.0000 0.3390  12 Pb 3.42-3.55
Th 0.0000 0.0000 0.6610  12 Pb 3.42-3.55
Pb 0.0000 0.5000 0.1662  8 Pb 3.47-3.48, 2 Ca 3.48, 2 Th 3.55
Pb 0.0000 0.5000 0.5000  4 Th 3.42, 8 Pb 3.47-3.49
Pb 0.0000 0.5000 0.8338  8 Pb 3.47-3.48, 2 Ca 3.48, 2 Th 3.55
Pb 0.5000 0.0000 0.1662  8 Pb 3.47-3.48, 2 Ca 3.48, 2 Th 3.55
Pb 0.5000 0.0000 0.5000  4 Th 3.42, 8 Pb 3.47-3.49
Pb 0.5000 0.0000 0.8338  8 Pb 3.47-3.48, 2 Ca 3.48, 2 Th 3.55
Pb 0.5000 0.5000 0.0000  4 Ca 3.47, 8 Pb 3.48
Pb 0.5000 0.5000 0.3322  4 Th 3.47, 8 Pb 3.48-3.49
Pb 0.5000 0.5000 0.6678  4 Th 3.47, 8 Pb 3.48-3.49

- ΔH_f (0 K): -0.258 eV/atom
- Symmetry: P4/mmm, No. 123
- Total moment: 0.00 μB/f.u.

No. 2
## Dy5Er4Zr (PBE-GGA)

Data for a geometry-optimized Dy5Er4Zr structure.

abc: 7.8785 7.8785 7.8785
angles: 97.95 97.95 136.34
Last column: nearest neighbours and their distance in Å.
Positions (direct):
Dy 0.0000 0.0000 0.0000  1 Zr 2.69
Dy 0.5185 0.5185 0.6308  1 Zr 3.05, 1 Dy 3.21, 2 Er 3.27
Dy 0.5185 0.8877 0.0000  1 Zr 3.05, 1 Dy 3.21, 2 Er 3.27
Dy 0.8877 0.5185 0.0000  1 Zr 3.05, 1 Dy 3.21, 2 Er 3.27
Dy 0.8877 0.8877 0.3692  1 Zr 3.05, 1 Dy 3.21, 2 Er 3.27
Er 0.2330 0.5544 0.3214  5 Dy 3.27-3.64, 1 Zr 3.58
Er 0.2330 0.9116 0.6786  5 Dy 3.27-3.64, 1 Zr 3.58
Er 0.5544 0.2330 0.3214  5 Dy 3.27-3.64, 1 Zr 3.58
Er 0.9116 0.2330 0.6786  5 Dy 3.27-3.64, 1 Zr 3.58
Zr 0.4597 0.4597 0.0000  1 Dy 2.69

- ΔH_f (0 K): 0.256 eV/atom
- Symmetry: I4mm, No. 107
- Total moment: 0.00 μB/f.u.

No. 3
## Sr3SiMo (PBE-GGA)

Data for a geometry-optimized Sr3SiMo structure.

abc: 6.0259 6.0259 6.0259
angles: 90.00 90.00 90.00
Last column: nearest neighbours and their distance in Å.
Positions (direct):
Sr 0.0000 0.0000 0.5000  2 Si 3.01
Sr 0.0000 0.5000 0.0000  2 Si 3.01
Sr 0.5000 0.0000 0.0000  2 Si 3.01
Si 0.0000 0.0000 0.0000  6 Sr 3.01
Mo 0.5000 0.5000 0.5000  12 Sr 4.26

- Symmetry: Pm-3m, No. 221
- Total moment: 5.72 μB/f.u.
- Energy above the most stable polymorph in this dataset: 0.0000 eV per atom

No. 4
## Pm6Pr2Sm3Tl (PBE-GGA)

Data for a geometry-optimized Pm6Pr2Sm3Tl structure.

abc: 6.2570 6.2570 12.0055
angles: 95.04 95.04 120.10
Last column: nearest neighbours and their distance in Å.
Positions (direct):
Pm 0.0825 0.4082 0.7489  6 Pm 3.53-3.66, 1 Tl 3.58, 3 Sm 3.61-3.65, 2 Pr 3.62
Pm 0.2425 0.2425 0.2497  6 Pm 3.53-3.66, 1 Tl 3.60, 3 Sm 3.61-3.64, 2 Pr 3.63
Pm 0.4082 0.0825 0.7489  6 Pm 3.53-3.66, 1 Tl 3.58, 3 Sm 3.61-3.65, 2 Pr 3.62
Pm 0.5918 0.9175 0.2511  6 Pm 3.53-3.66, 1 Tl 3.58, 3 Sm 3.61-3.65, 2 Pr 3.62
Pm 0.7575 0.7575 0.7503  6 Pm 3.53-3.66, 1 Tl 3.60, 3 Sm 3.61-3.64, 2 Pr 3.63
Pm 0.9175 0.5918 0.2511  6 Pm 3.53-3.66, 1 Tl 3.58, 3 Sm 3.61-3.65, 2 Pr 3.62
Pr 0.3337 0.6663 0.5000  3 Tl 3.61-3.62, 3 Pr 3.61, 6 Pm 3.62-3.63
Pr 0.6663 0.3337 0.5000  3 Tl 3.61-3.62, 3 Pr 3.61, 6 Pm 3.62-3.63
Sm 0.1680 0.8320 0.0000  6 Sm 3.59-3.64, 6 Pm 3.61-3.65
Sm 0.5000 0.5000 0.0000  6 Sm 3.60-3.62, 6 Pm 3.61-3.64
Sm 0.8320 0.1680 0.0000  6 Sm 3.59-3.64, 6 Pm 3.61-3.65
Tl 0.0000 0.0000 0.5000  6 Pm 3.58-3.60, 6 Pr 3.61-3.62

- ΔH_f (0 K): -0.030 eV/atom
- Symmetry: C2/m, No. 12
- Total moment: 0.00 μB/f.u.

No. 5
## LaMgAl3 (PBE-GGA)

Data for a geometry-optimized LaMgAl3 structure.

abc: 12.8399 12.8399 4.4206
angles: 90.00 90.00 160.83
Last column: nearest neighbours and their distance in Å.
Positions (direct):
La 0.0791 0.9209 0.7500  12 Al 3.31-3.40
La 0.9209 0.0791 0.2500  12 Al 3.31-3.40
Mg 0.2055 0.7945 0.2500  7 Al 2.82-3.13
Mg 0.7945 0.2055 0.7500  7 Al 2.82-3.13
Al 0.3169 0.6831 0.2500  2 Al 2.62, 1 Mg 2.82
Al 0.3727 0.6273 0.7500  3 Al 2.58-2.62
Al 0.4746 0.5254 0.7500  3 Al 2.56-2.58
Al 0.5254 0.4746 0.2500  3 Al 2.56-2.58
Al 0.6273 0.3727 0.2500  3 Al 2.58-2.62
Al 0.6831 0.3169 0.7500  2 Al 2.62, 1 Mg 2.82

- ΔH_f (0 K): -0.254 eV/atom
- Symmetry: Cmcm, No. 63
- Total moment: 0.00 μB/f.u.

No. 6
## PaIn3S4 (PBE-GGA)

Data for a geometry-optimized PaIn3S4 structure.

abc: 7.8085 7.8085 7.8085
angles: 136.45 136.45 63.29
Last column: nearest neighbours and their distance in Å.
Positions (direct):
Pa 0.0000 0.0000 0.0000  2 S 2.53
In 0.2500 0.7500 0.5000  6 S 3.00-3.32
In 0.5000 0.5000 0.0000  4 S 2.90
In 0.7500 0.2500 0.5000  6 S 3.00-3.32
S 0.0000 0.5000 0.5000  2 In 2.90, 2 Pa 2.90
S 0.1906 0.1906 0.0000  1 Pa 2.53
S 0.5000 0.0000 0.5000  2 In 2.90, 2 Pa 2.90
S 0.8094 0.8094 0.0000  1 Pa 2.53

- Symmetry: I4/mmm, No. 139
- Total moment: 0.09 μB/f.u.

no.,E_tot (eV/atom)
1,-4.44
2,-4.72
3,-3.51
4,-4.58
5,-3.80
6,-4.97